(1)
A plane-wave DFT calculation with GGA-PBE was carried out for a relaxed Al2ReSb crystal.

Cell lengths 3.059, 3.059, 7.977 Å; angles 90.00, 90.00, 90.00 degrees
Element x y z (fractional)
Al  0.000  0.000  0.434
Al  0.000  0.000  0.066
Re  0.500  0.500  0.250
Sb  0.500  0.500  0.750

**Total energy**: -23.59 eV per cell
**M_tot**: 0.000 μB per atom
**Uncorrected formation energy**: 0.1173 eV/atom

***

(2)
A plane-wave DFT calculation with GGA-PBE was carried out for a relaxed LaTbSm3Th crystal.

Cell lengths 5.126, 8.129, 10.877 Å; angles 116.32, 90.00, 90.00 degrees
Element x y z (fractional)
Th  0.750  0.379  0.878
Th  0.250  0.621  0.122
Sm  0.250  0.136  0.957
Sm  0.250  0.616  0.795
Sm  0.250  0.627  0.454
Sm  0.750  0.384  0.205
Sm  0.750  0.373  0.546
Sm  0.750  0.864  0.043
La  0.750  0.879  0.708
La  0.250  0.121  0.292
Tb  0.250  0.130  0.629
Tb  0.750  0.870  0.371

**Calculated formation energy**: 0.0345 eV/atom
**Total energy**: -61.86 eV per cell
**M_tot**: 0.000 μB per atom